1.
First-principles (GGA-PBE) data for V2Pt8W after structural relaxation, as listed in the Alexandria database.

```
V2Pt8W
1.0
0.0397 -1.3737 -3.6870
6.2178 0.8246 -0.2402
-1.1383 -5.8659 4.2728
V Pt W
2 8 1
Direct
0.7807 0.3576 0.5615
0.2193 0.6424 0.4385
0.0446 0.7329 0.0892
0.1398 0.1926 0.2796
0.3186 0.0874 0.6372
0.6814 0.9126 0.3628
0.8602 0.8074 0.7204
0.3971 0.5501 0.7942
0.6029 0.4499 0.2058
0.9554 0.2671 0.9108
0.5000 0.0000 0.0000
```

Output
Formation energy from the elements   -0.4066 eV per atom


2.
First-principles (GGA-PBE) data for CdTc2Ag after structural relaxation, as listed in the Alexandria database.

```
CdTc2Ag
1.0
-2.4731 1.1035 -0.5779
0.3587 -0.8380 2.6148
3.3937 8.8463 2.3695
Cd Ag Tc
1 1 2
Direct
0.5000 0.5000 0.7569
0.0000 0.0000 0.4901
0.5000 0.5000 0.2335
0.0000 0.0000 0.0195
```

Output
Formation energy from the elements   0.3186 eV per atom


3.
First-principles (GGA-PBE) data for KYGe3 after structural relaxation, as listed in the Alexandria database.

```
KYGe3
1.0
-2.5869 2.8547 3.5517
-4.5292 -1.1629 -2.3643
-0.4999 -4.2373 3.0416
Ge Y K
3 1 1
Direct
0.0000 0.0000 0.5000
0.5000 0.0000 0.0000
0.0000 0.5000 0.0000
0.5000 0.5000 0.5000
0.0000 0.0000 0.0000
```

Output
Energy relative to the lowest polymorph listed for this composition   781 meV per atom
Formation energy from the elements   1.0351 eV per atom


4.
First-principles (GGA-PBE) data for ReSi2Os after structural relaxation, as listed in the Alexandria database.

```
ReSi2Os
1.0
4.3161 0.0000 0.0000
2.1581 3.7379 0.0000
2.1581 1.2460 3.5241
Re Os Si
1 1 2
Direct
0.2500 0.2500 0.2500
0.5000 0.5000 0.5000
0.0000 0.0000 0.0000
0.7500 0.7500 0.7500
```

Output
Total energy   -8.2633 eV/atom